A plane-wave DFT calculation with PBE was carried out for a relaxed HoTm4Th3 crystal.

a b c (Å): 3.5463 6.0532 11.6970
angles (deg): 95.00 98.72 90.00
Last column: nearest neighbours and their distance in Å.
Sites, in units of the cell vectors:
Tm (0.2501, 0.2539, 0.5002)  9 Tm 3.47-3.55, 3 Th 3.49-3.52
Tm (0.7499, 0.7461, 0.4998)  9 Tm 3.47-3.55, 3 Th 3.49-3.52
Tm (0.1248, 0.8757, 0.2496)  5 Th 3.51, 2 Ho 3.52, 5 Tm 3.53-3.55
Tm (0.8752, 0.1243, 0.7504)  5 Th 3.51, 2 Ho 3.52, 5 Tm 3.53-3.55
Th (0.0000, 0.5000, 0.0000)  4 Ho 3.51, 2 Tm 3.51, 6 Th 3.53-3.55
Th (0.3749, 0.6239, 0.7497)  7 Tm 3.49-3.52, 1 Ho 3.52, 4 Th 3.53-3.55
Th (0.6251, 0.3761, 0.2503)  7 Tm 3.49-3.52, 1 Ho 3.52, 4 Th 3.53-3.55
Ho (0.5000, 0.0000, 0.0000)  6 Th 3.51-3.52, 4 Tm 3.52, 2 Ho 3.55

Calculated values
Symmetry: No. 12
E_form (eV/f.u.): 0.2
Excess energy over the best structure of this formula in the dataset (kJ/mol of atoms): 0.0
Uncorrected energy (eV per atom): -5.56